An optimized crystal structure of Ba2LaIrI, computed with GGA-PBE.

Computed properties:
Crystal system ... tetragonal
Energy relative to the elements, uncorrected ... -2.646 eV/f.u.
DOS at the Fermi energy ... 5.3 states/eV/f.u.

abc: 6.4267 6.4267 5.3623
angles: 90.00 90.00 90.00
Closest atoms and distances in Å follow each position.
Atoms (fractional coordinates):
Ba 0.5000 0.0000 0.0000  2 Ir 3.21
I 0.5000 0.5000 0.5000  8 Ba 4.18, 4 La 4.54
La 0.0000 0.0000 0.5000  2 Ir 2.68
Ba 0.0000 0.5000 0.0000  2 Ir 3.21
Ir 0.0000 0.0000 0.0000  2 La 2.68